(1)
TmSb2Pd7 | PBE | optimized geometry

abc: 4.1106 4.1106 11.4454
angles: 100.34 100.34 90.00
With the nearest neighbours (Å) after each atom.
Positions (direct):
Pd 0.4073 0.9073 0.8146  2 Sb 2.67, 2 Tm 2.90, 6 Pd 2.90-2.91
Pd 0.7500 0.2500 0.5000  4 Sb 2.71, 4 Pd 2.91
Pd 0.2500 0.7500 0.5000  4 Sb 2.71, 4 Pd 2.91
Sb 0.3300 0.3300 0.6600  8 Pd 2.67-2.71
Pd 0.9073 0.4073 0.8146  2 Sb 2.67, 6 Pd 2.90-2.91, 2 Tm 2.90
Pd 0.0927 0.5927 0.1854  2 Sb 2.67, 6 Pd 2.90-2.91, 2 Tm 2.90
Pd 0.5927 0.0927 0.1854  2 Sb 2.67, 2 Tm 2.90, 6 Pd 2.90-2.91
Pd 0.5000 0.5000 0.0000  8 Pd 2.90, 4 Tm 2.91
Tm 0.0000 0.0000 0.0000  12 Pd 2.90-2.91
Sb 0.6700 0.6700 0.3400  8 Pd 2.67-2.71

Excess energy over the best structure of this formula in the dataset ... 0 kJ/mol of formula units
Formation energy (no corrections) ... -6.1 eV/f.u.
Space group ... No. 139
ρ ... 10.27 g/cm3
Calculated total energy ... -55.2 eV for the cell shown
Size of the total moment ... 0.000 μB/cell



(2)
TmSb2Pd2 | PBE | optimized geometry

abc: 4.6681 4.4778 10.6880
angles: 89.65 90.00 90.00
With the nearest neighbours (Å) after each atom.
Positions (direct):
Tm 0.7500 0.2476 0.6806  4 Pd 2.80-2.92
Pd 0.7500 0.7506 0.1544  6 Sb 2.80-2.95, 2 Tm 2.92
Pd 0.2500 0.2494 0.8456  6 Sb 2.80-2.95, 2 Tm 2.92
Sb 0.2500 0.7494 0.0097  4 Pd 2.80-2.85
Sb 0.7500 0.2517 0.3320  6 Pd 2.81-3.02
Pd 0.7500 0.7489 0.5221  2 Tm 2.80-2.81, 4 Sb 2.81-3.02
Tm 0.2500 0.7524 0.3194  4 Pd 2.80-2.92
Sb 0.2500 0.7483 0.6680  6 Pd 2.81-3.02
Pd 0.2500 0.2511 0.4779  2 Tm 2.80-2.81, 4 Sb 2.81-3.02
Sb 0.7500 0.2506 0.9903  4 Pd 2.80-2.85

Formation energy (no corrections) ... -3.5 eV/f.u.
Space group ... No. 11
ρ ... 9.30 g/cm3
Calculated total energy ... -53.2 eV for the cell shown
Size of the total moment ... 0.000 μB/cell



(3)
TmSb2Pd6 | PBE | optimized geometry

abc: 4.6550 4.6017 8.7574
angles: 91.29 90.00 120.38
With the nearest neighbours (Å) after each atom.
Positions (direct):
Pd 0.9994 0.9988 0.1712  3 Sb 2.78-2.80, 1 Tm 2.88, 5 Pd 2.92-3.06
Tm 0.0000 0.0000 0.5000  8 Pd 2.88-2.96
Sb 0.3362 0.6724 0.7370  7 Pd 2.61-2.80
Pd 0.3323 0.6647 0.0345  1 Sb 2.61, 4 Pd 2.73-2.80
Pd 0.3321 0.6643 0.3545  3 Sb 2.77-2.79, 2 Pd 2.80-3.06, 3 Tm 2.95-2.96
Pd 0.0006 0.0012 0.8288  3 Sb 2.78-2.80, 1 Tm 2.88, 5 Pd 2.92-3.06
Sb 0.6638 0.3276 0.2630  7 Pd 2.61-2.80
Pd 0.6679 0.3357 0.6455  3 Sb 2.77-2.79, 2 Pd 2.80-3.06, 3 Tm 2.95-2.96
Pd 0.6677 0.3353 0.9655  1 Sb 2.61, 4 Pd 2.73-2.80

Formation energy (no corrections) ... -4.9 eV/f.u.
Space group ... No. 12
ρ ... 10.79 g/cm3
Calculated total energy ... -48.8 eV for the cell shown
Size of the total moment ... 0.000 μB/cell



(4)
Tm6Sb2Pd | PBE | optimized geometry

abc: 6.3143 7.8554 9.9656
angles: 90.00 90.82 90.00
With the nearest neighbours (Å) after each atom.
Positions (direct):
Sb 0.0991 0.6195 0.2451  8 Tm 3.08-3.37
Tm 0.8606 0.9737 0.2403  1 Pd 2.73
Sb 0.4009 0.1195 0.2549  8 Tm 3.08-3.37
Tm 0.1394 0.0263 0.7597  1 Pd 2.73
Tm 0.6394 0.4737 0.2597  1 Pd 2.73
Tm 0.8764 0.6942 0.9554  1 Pd 2.86, 2 Sb 3.08-3.18
Tm 0.6236 0.1942 0.5446  1 Pd 2.86, 2 Sb 3.08-3.18
Sb 0.9009 0.3805 0.7549  8 Tm 3.08-3.37
Tm 0.8694 0.6699 0.5459  1 Pd 2.76, 1 Sb 3.09
Tm 0.1236 0.3058 0.0446  1 Pd 2.86, 2 Sb 3.08-3.18
Sb 0.5991 0.8805 0.7451  8 Tm 3.08-3.37
Tm 0.3694 0.8301 0.0459  1 Pd 2.76, 1 Sb 3.09
Tm 0.3764 0.8058 0.4554  1 Pd 2.86, 2 Sb 3.08-3.18
Tm 0.3606 0.5263 0.7403  1 Pd 2.73
Pd 0.5000 0.5000 0.0000  6 Tm 2.73-2.86
Tm 0.6306 0.1699 0.9541  1 Pd 2.76, 1 Sb 3.09
Tm 0.1306 0.3301 0.4541  1 Pd 2.76, 1 Sb 3.09
Pd 0.0000 0.0000 0.5000  6 Tm 2.73-2.86

Formation energy (no corrections) ... -5.6 eV/f.u.
Space group ... No. 14
ρ ... 9.16 g/cm3
Calculated total energy ... -91.7 eV for the cell shown
Size of the total moment ... 0.000 μB/cell



(5)
Tm4SbPd | PBE | optimized geometry

abc: 7.9769 7.9769 7.9769
angles: 107.68 107.68 113.13
With the nearest neighbours (Å) after each atom.
Positions (direct):
Sb 0.7386 0.7386 0.0000  6 Tm 2.95-3.05
Tm 0.7719 0.0842 0.3123  1 Pd 2.72, 1 Sb 2.95
Pd 0.2573 0.2573 0.0000  6 Tm 2.72-2.79
Tm 0.2302 0.5189 0.2887  2 Pd 2.73-2.79, 1 Sb 3.02
Pd 0.0073 0.5073 0.5000  6 Tm 2.72-2.79
Tm 0.2689 0.4802 0.7887  2 Pd 2.73-2.79, 1 Sb 3.02
Tm 0.6915 0.4802 0.2113  2 Pd 2.73-2.79, 1 Sb 3.02
Sb 0.4886 0.9886 0.5000  6 Tm 2.95-3.05
Tm 0.7719 0.4595 0.6877  1 Pd 2.72, 1 Sb 2.95
Tm 0.8342 0.0219 0.8123  1 Pd 2.72, 1 Sb 2.95
Tm 0.2095 0.0219 0.1877  1 Pd 2.72, 1 Sb 2.95
Tm 0.2302 0.9415 0.7113  2 Pd 2.73-2.79, 1 Sb 3.02

Excess energy over the best structure of this formula in the dataset ... 174 kJ/mol of formula units
Formation energy (no corrections) ... -2.1 eV/f.u.
Space group ... No. 109
ρ ... 7.71 g/cm3
Calculated total energy ... -58.6 eV for the cell shown
Size of the total moment ... 0.005 μB/cell



(6)
Tm2SbPd8 | PBE | optimized geometry

abc: 4.7043 5.9019 8.1052
angles: 111.30 106.87 90.00
With the nearest neighbours (Å) after each atom.
Positions (direct):
Pd 0.8166 0.8164 0.6333  8 Pd 2.87-3.02, 4 Tm 2.95-2.99
Pd 0.9999 0.2517 0.9997  2 Sb 2.78, 8 Pd 2.93-3.11, 2 Tm 3.07
Tm 0.8121 0.3121 0.6242  12 Pd 2.82-3.07
Pd 0.6418 0.8810 0.2835  1 Sb 2.55, 1 Pd 2.82, 2 Tm 2.82
Pd 0.3582 0.1190 0.7165  1 Sb 2.55, 1 Pd 2.82, 2 Tm 2.82
Pd 0.3586 0.5971 0.7171  1 Sb 2.55, 1 Pd 2.82, 2 Tm 2.82
Pd 0.1834 0.1836 0.3667  8 Pd 2.87-3.02, 4 Tm 2.95-2.99
Pd 0.0001 0.7483 0.0003  2 Sb 2.78, 8 Pd 2.93-3.11, 2 Tm 3.07
Tm 0.1879 0.6879 0.3758  12 Pd 2.82-3.07
Pd 0.6414 0.4029 0.2829  1 Sb 2.55, 1 Pd 2.82, 2 Tm 2.82
Sb 0.5000 0.0000 0.0000  8 Pd 2.55-2.78

Formation energy (no corrections) ... -7.6 eV/f.u.
Space group ... No. 12
ρ ... 10.93 g/cm3
Calculated total energy ... -62.2 eV for the cell shown
Size of the total moment ... 0.000 μB/cell



(7)
TmSb6Pd12 | PBE | optimized geometry

abc: 7.6142 7.6142 7.6142
angles: 105.70 105.70 105.70
With the nearest neighbours (Å) after each atom.
Positions (direct):
Pd 0.6535 0.6535 0.8906  3 Sb 2.76-3.06, 4 Pd 2.82-2.88, 1 Tm 2.91
Sb 0.7338 0.3265 0.7338  6 Pd 2.66-2.76
Pd 0.8906 0.6535 0.6535  3 Sb 2.76-3.06, 4 Pd 2.82-2.88, 1 Tm 2.91
Pd 0.3465 0.3465 0.1094  3 Sb 2.76-3.06, 4 Pd 2.82-2.88, 1 Tm 2.91
Tm 0.0000 0.0000 0.0000  6 Pd 2.91
Pd 0.3465 0.1094 0.3465  3 Sb 2.76-3.06, 4 Pd 2.82-2.88, 1 Tm 2.91
Pd 0.1229 0.5000 0.8771  4 Sb 2.66-2.69, 2 Pd 2.82
Pd 0.5000 0.8771 0.1229  4 Sb 2.66-2.69, 2 Pd 2.82
Sb 0.2662 0.6735 0.2662  6 Pd 2.66-2.76
Pd 0.1229 0.8771 0.5000  4 Sb 2.66-2.69, 2 Pd 2.82
Pd 0.6535 0.8906 0.6535  3 Sb 2.76-3.06, 4 Pd 2.82-2.88, 1 Tm 2.91
Pd 0.8771 0.5000 0.1229  4 Sb 2.66-2.69, 2 Pd 2.82
Pd 0.1094 0.3465 0.3465  3 Sb 2.76-3.06, 4 Pd 2.82-2.88, 1 Tm 2.91
Pd 0.8771 0.1229 0.5000  4 Sb 2.66-2.69, 2 Pd 2.82
Pd 0.5000 0.1229 0.8771  4 Sb 2.66-2.69, 2 Pd 2.82
Sb 0.2662 0.2662 0.6735  6 Pd 2.66-2.76
Sb 0.7338 0.7338 0.3265  6 Pd 2.66-2.76
Sb 0.3265 0.7338 0.7338  6 Pd 2.66-2.76
Sb 0.6735 0.2662 0.2662  6 Pd 2.66-2.76

Formation energy (no corrections) ... -7.0 eV/f.u.
Space group ... No. 166
ρ ... 9.51 g/cm3
Calculated total energy ... -98.5 eV for the cell shown
Size of the total moment ... 0.000 μB/cell



(8)
Tm2SbPd7 | PBE | optimized geometry

abc: 3.8769 8.4493 8.4493
angles: 128.12 90.00 90.00
With the nearest neighbours (Å) after each atom.
Positions (direct):
Pd 0.5000 0.5000 0.5000  4 Pd 2.73, 2 Tm 2.87
Pd 0.5000 0.9082 0.7182  1 Tm 2.72, 5 Pd 2.73-2.89, 2 Sb 2.78
Tm 0.5000 0.6888 0.3112  5 Pd 2.67-2.87
Pd 0.5000 0.7182 0.9082  1 Tm 2.72, 5 Pd 2.73-2.89, 2 Sb 2.78
Tm 0.5000 0.3112 0.6888  5 Pd 2.67-2.87
Pd 0.0000 0.1901 0.8099  2 Tm 2.67, 4 Pd 2.78, 1 Sb 2.89
Pd 0.0000 0.8099 0.1901  2 Tm 2.67, 4 Pd 2.78, 1 Sb 2.89
Sb 0.0000 0.0000 0.0000  10 Pd 2.78-2.89
Pd 0.5000 0.2818 0.0918  1 Tm 2.72, 5 Pd 2.73-2.89, 2 Sb 2.78
Pd 0.5000 0.0918 0.2818  1 Tm 2.72, 5 Pd 2.73-2.89, 2 Sb 2.78

Formation energy (no corrections) ... -2.2 eV/f.u.
Space group ... No. 65
ρ ... 9.19 g/cm3
Calculated total energy ... -51.6 eV for the cell shown
Size of the total moment ... 0.000 μB/cell



(9)
TmSbPd14 | PBE | optimized geometry

abc: 5.7219 5.7219 7.8784
angles: 90.00 90.00 90.00
With the nearest neighbours (Å) after each atom.
Positions (direct):
Pd 0.6267 0.6267 0.7530  10 Pd 2.80-2.88, 1 Sb 2.83, 1 Tm 2.85
Pd 0.8750 0.3750 0.5000  8 Pd 2.84, 2 Sb 2.86, 2 Tm 2.86
Sb 0.8750 0.8750 0.5000  12 Pd 2.83-2.86
Pd 0.3750 0.8750 0.0000  12 Pd 2.81-2.86
Tm 0.3750 0.3750 0.5000  12 Pd 2.85-2.86
Pd 0.6267 0.6267 0.2470  10 Pd 2.80-2.88, 1 Sb 2.83, 1 Tm 2.85
Pd 0.3750 0.3750 0.0000  12 Pd 2.82-2.86
Pd 0.1233 0.1233 0.2470  10 Pd 2.80-2.88, 1 Sb 2.83, 1 Tm 2.85
Pd 0.1232 0.6268 0.7531  10 Pd 2.80-2.88, 1 Sb 2.83, 1 Tm 2.85
Pd 0.3750 0.8750 0.5000  8 Pd 2.84, 2 Sb 2.86, 2 Tm 2.86
Pd 0.1232 0.6268 0.2469  10 Pd 2.80-2.88, 1 Sb 2.83, 1 Tm 2.85
Pd 0.6268 0.1232 0.7531  10 Pd 2.80-2.88, 1 Sb 2.83, 1 Tm 2.85
Pd 0.8750 0.3750 0.0000  12 Pd 2.81-2.86
Pd 0.8750 0.8750 0.0000  12 Pd 2.80-2.86
Pd 0.1233 0.1233 0.7530  10 Pd 2.80-2.88, 1 Sb 2.83, 1 Tm 2.85
Pd 0.6268 0.1232 0.2469  10 Pd 2.80-2.88, 1 Sb 2.83, 1 Tm 2.85

Formation energy (no corrections) ... -5.1 eV/f.u.
Space group ... No. 123
ρ ... 11.46 g/cm3
Calculated total energy ... -86.4 eV for the cell shown
Size of the total moment ... 0.000 μB/cell



(10)
TmSbPd4 | PBE | optimized geometry

abc: 4.8922 8.9245 4.9037
angles: 90.00 85.54 90.00
With the nearest neighbours (Å) after each atom.
Positions (direct):
Pd 0.4941 0.3337 0.5005  3 Sb 2.84-2.98, 2 Tm 2.87, 5 Pd 2.87-2.97
Pd 0.5059 0.6663 0.4995  3 Sb 2.84-2.98, 2 Tm 2.87, 5 Pd 2.87-2.97
Pd 0.9941 0.1663 0.5005  3 Sb 2.84-2.98, 2 Tm 2.87, 5 Pd 2.87-2.97
Tm 0.0000 0.0000 0.0000  10 Pd 2.84-3.01
Pd 0.0008 0.3374 0.0000  3 Tm 2.84-3.01, 2 Sb 2.85, 5 Pd 2.89-2.90
Pd 0.4992 0.8374 0.0000  3 Tm 2.84-3.01, 2 Sb 2.85, 5 Pd 2.89-2.90
Sb 0.5000 0.0000 0.5000  10 Pd 2.84-2.98
Tm 0.5000 0.5000 0.0000  10 Pd 2.84-3.01
Pd 0.5008 0.1626 0.0000  3 Tm 2.84-3.01, 2 Sb 2.85, 5 Pd 2.89-2.90
Pd 0.0059 0.8337 0.4995  3 Sb 2.84-2.98, 2 Tm 2.87, 5 Pd 2.87-2.97
Pd 0.9992 0.6626 0.0000  3 Tm 2.84-3.01, 2 Sb 2.85, 5 Pd 2.89-2.90
Sb 0.0000 0.5000 0.5000  10 Pd 2.84-2.98

Excess energy over the best structure of this formula in the dataset ... 0 kJ/mol of formula units
Formation energy (no corrections) ... -4.2 eV/f.u.
Space group ... No. 14
ρ ... 11.15 g/cm3
Calculated total energy ... -67.1 eV for the cell shown
Size of the total moment ... 0.000 μB/cell